No. 1
The following is a DFT calculation (PBE) of a geometry-optimized BaZr2P structure.

Summary:
V   95 Å³/f.u.
Total energy   -23.27 eV/f.u.
Energy of formation from the pure elements   0.290 eV per atom

a = 4.516 Å, b = 4.516 Å, c = 9.284 Å
α = 90.00°, β = 90.00°, γ = 90.00°
Space group I-4m2 (No. 119)
Unique sites:
Ba: 0.000 0.000 0.000 [2 per cell]
Zr: 0.000 0.000 0.500 [2 per cell]
Zr: 0.000 0.500 0.250 [2 per cell]
P: 0.000 0.500 0.750 [2 per cell]

No. 2
The following is a DFT calculation (PBE) of a geometry-optimized BaZr2P structure.

Summary:
V   114 Å³/f.u.
Total energy   -25.35 eV/f.u.
Energy of formation from the pure elements   -0.229 eV per atom

a = 6.215 Å, b = 10.044 Å, c = 3.669 Å
α = 90.00°, β = 90.00°, γ = 90.00°
Space group Cmmm (No. 65)
Unique sites:
Ba: 0.000 0.000 0.000 [2 per cell]
Zr: 0.000 0.327 0.500 [4 per cell]
P: 0.000 0.500 0.000 [2 per cell]

No. 3
The following is a DFT calculation (PBE) of a geometry-optimized BaZr2P structure.

Summary:
V   110 Å³/f.u.
Total energy   -26.03 eV/f.u.
Energy of formation from the pure elements   -0.400 eV per atom

a = 3.7055 Å, b = 3.7055 Å, c = 27.8670 Å
α = 90.00°, β = 90.00°, γ = 120.00°
Space group R-3m (No. 166, hexagonal axes)
Unique sites:
Ba: 0.0000 0.0000 0.0000 [3 per cell]
Zr: 0.0000 0.0000 0.2177 [6 per cell]
P: 0.0000 0.0000 0.5000 [3 per cell]

No. 4
The following is a DFT calculation (PBE) of a geometry-optimized Ba4Pa structure.

Summary:
V   286 Å³/f.u.
Total energy   -13.23 eV/f.u.
Energy of formation from the pure elements   0.792 eV per atom

a = 6.588 Å, b = 6.588 Å, c = 6.588 Å
α = 90.00°, β = 90.00°, γ = 90.00°
Space group Pm-3m (No. 221)
Unique sites:
Ba: 0.000 0.000 0.000 [1 per cell]
Ba: 0.000 0.500 0.500 [3 per cell]
Pa: 0.500 0.500 0.500 [1 per cell]

No. 5
The following is a DFT calculation (PBE) of a geometry-optimized BaPa3 structure.

Summary:
V   111 Å³/f.u.
Total energy   -27.69 eV/f.u.
Energy of formation from the pure elements   0.679 eV per atom

a = 4.813 Å, b = 4.813 Å, c = 9.596 Å
α = 90.00°, β = 90.00°, γ = 90.00°
Space group I4/mmm (No. 139)
Unique sites:
Ba: 0.000 0.000 0.000 [2 per cell]
Pa: 0.000 0.000 0.500 [2 per cell]
Pa: 0.000 0.500 0.250 [4 per cell]

No. 6
The following is a DFT calculation (PBE) of a geometry-optimized BaPaPb structure.

Summary:
V   119 Å³/f.u.
Total energy   -14.72 eV/f.u.
Energy of formation from the pure elements   0.136 eV per atom

a = 4.4158 Å, b = 4.4158 Å, c = 42.1750 Å
α = 90.00°, β = 90.00°, γ = 120.00°
Space group R-3m (No. 166, hexagonal axes)
Unique sites:
Ba: 0.0000 0.0000 0.1190 [6 per cell]
Pa: 0.0000 0.0000 0.3187 [6 per cell]
Pb: 0.0000 0.0000 0.3954 [6 per cell]

No. 7
The following is a DFT calculation (PBE) of a geometry-optimized BaPaPb2 structure.

Summary:
V   129 Å³/f.u.
Total energy   -19.39 eV/f.u.
Energy of formation from the pure elements   -0.138 eV per atom
ΔE to the lowest computed polymorph   0.00 kJ per mole of atoms

a = 3.670 Å, b = 3.670 Å, c = 9.549 Å
α = 90.00°, β = 90.00°, γ = 90.00°
Space group P4/mmm (No. 123)
Unique sites:
Ba: 0.000 0.000 0.000 [1 per cell]
Pa: 0.000 0.000 0.500 [1 per cell]
Pb: 0.500 0.500 0.272 [2 per cell]

No. 8
The following is a DFT calculation (PBE) of a geometry-optimized BaPaPb2 structure.

Summary:
V   132 Å³/f.u.
Total energy   -17.99 eV/f.u.
Energy of formation from the pure elements   0.211 eV per atom
ΔE to the lowest computed polymorph   33.61 kJ per mole of atoms

a = 3.4684 Å, b = 3.4684 Å, c = 37.9231 Å
α = 90.00°, β = 90.00°, γ = 120.00°
Space group R-3m (No. 166, hexagonal axes)
Unique sites:
Ba: 0.0000 0.0000 0.0000 [3 per cell]
Pa: 0.0000 0.0000 0.5000 [3 per cell]
Pb: 0.0000 0.0000 0.0927 [6 per cell]

No. 9
The following is a DFT calculation (PBE) of a geometry-optimized Ba2PaPbSe5 structure.

Summary:
V   306 Å³/f.u.
Total energy   -47.52 eV/f.u.
ΔE_f (raw)   -13.05 eV per formula unit

a = 4.436 Å, b = 18.725 Å, c = 14.752 Å
α = 90.00°, β = 90.00°, γ = 90.00°
Space group Cmc2_1 (No. 36)
Unique sites:
Ba: 0.000 0.085 0.000 [4 per cell]
Ba: 0.000 0.135 0.644 [4 per cell]
Pa: 0.000 0.226 0.373 [4 per cell]
Pb: 0.000 0.453 0.792 [4 per cell]
Se: 0.000 0.081 0.417 [4 per cell]
Se: 0.000 0.262 0.003 [4 per cell]
Se: 0.000 0.297 0.747 [4 per cell]
Se: 0.000 0.375 0.332 [4 per cell]
Se: 0.000 0.492 0.105 [4 per cell]

No. 10
The following is a DFT calculation (PBE) of a geometry-optimized Ba2PaTe5Pb structure.

Summary:
V   366 Å³/f.u.
Total energy   -42.68 eV/f.u.
ΔE_f (raw)   -9.92 eV per formula unit

a = 4.700 Å, b = 19.912 Å, c = 15.662 Å
α = 90.00°, β = 90.00°, γ = 90.00°
Space group Cmc2_1 (No. 36)
Unique sites:
Ba: 0.000 0.088 0.000 [4 per cell]
Ba: 0.000 0.134 0.646 [4 per cell]
Pa: 0.000 0.225 0.374 [4 per cell]
Te: 0.000 0.077 0.418 [4 per cell]
Te: 0.000 0.265 0.008 [4 per cell]
Te: 0.000 0.298 0.744 [4 per cell]
Te: 0.000 0.376 0.332 [4 per cell]
Te: 0.000 0.492 0.103 [4 per cell]
Pb: 0.000 0.452 0.792 [4 per cell]

No. 11
The following is a DFT calculation (PBE) of a geometry-optimized BaPaPd2 structure.

Summary:
V   114 Å³/f.u.
Total energy   -23.26 eV/f.u.
Energy of formation from the pure elements   -0.365 eV per atom
ΔE to the lowest computed polymorph   8.15 kJ per mole of atoms

a = 4.1537 Å, b = 4.1537 Å, c = 22.8180 Å
α = 90.00°, β = 90.00°, γ = 120.00°
Space group R-3m (No. 166, hexagonal axes)
Unique sites:
Ba: 0.0000 0.0000 0.0000 [3 per cell]
Pa: 0.0000 0.0000 0.5000 [3 per cell]
Pd: 0.0000 0.0000 0.2329 [6 per cell]

No. 12
The following is a DFT calculation (PBE) of a geometry-optimized BaPaPd2 structure.

Summary:
V   104 Å³/f.u.
Total energy   -23.60 eV/f.u.
Energy of formation from the pure elements   -0.449 eV per atom
ΔE to the lowest computed polymorph   0.00 kJ per mole of atoms

a = 3.654 Å, b = 3.654 Å, c = 7.822 Å
α = 90.00°, β = 90.00°, γ = 90.00°
Space group P4/mmm (No. 123)
Unique sites:
Ba: 0.000 0.000 0.000 [1 per cell]
Pa: 0.000 0.000 0.500 [1 per cell]
Pd: 0.500 0.500 0.317 [2 per cell]

- total energy of number 10 (Ba2PaTe5Pb)?
  -42.68 eV/f.u.

- total energy of number 2 (BaZr2P)?
  -25.35 eV/f.u.

Repeat the twelfth record exactly.
The following is a DFT calculation (PBE) of a geometry-optimized BaPaPd2 structure.

Summary:
V   104 Å³/f.u.
Total energy   -23.60 eV/f.u.
Energy of formation from the pure elements   -0.449 eV per atom
ΔE to the lowest computed polymorph   0.00 kJ per mole of atoms

a = 3.654 Å, b = 3.654 Å, c = 7.822 Å
α = 90.00°, β = 90.00°, γ = 90.00°
Space group P4/mmm (No. 123)
Unique sites:
Ba: 0.000 0.000 0.000 [1 per cell]
Pa: 0.000 0.000 0.500 [1 per cell]
Pd: 0.500 0.500 0.317 [2 per cell]

- What is the V in the tenth record?
  366 Å³/f.u.